1.
SmTlZn2: optimized geometry, GGA-PBE.

For the formation energy, the calculation gives -0.2121 eV/atom. Its excess energy over the best structure of this formula in the dataset is 0 meV/atom. The total moment comes out at 0.000 Bohr magnetons per cell.

a b c (Å): 4.229 4.621 4.621
angles (deg): 90.00 90.00 90.00
Element x y z (fractional)
Tl 0.500 0.000 0.000
Zn 0.000 0.000 0.500
Zn 0.000 0.500 0.000
Sm 0.500 0.500 0.500

2.
Sm11Tl9Zn4: optimized geometry, GGA-PBE.

For the formation energy, the calculation gives -0.3440 eV/atom. The total moment comes out at 0.004 Bohr magnetons per cell.

a b c (Å): 3.843 13.528 13.528
angles (deg): 112.70 90.00 90.00
Element x y z (fractional)
Sm 0.000 0.585 0.927
Sm 0.000 0.415 0.073
Sm 0.000 0.927 0.585
Sm 0.000 0.073 0.415
Sm 0.000 0.635 0.365
Sm 0.000 0.365 0.635
Sm 0.000 0.836 0.164
Sm 0.000 0.164 0.836
Sm 0.000 0.000 0.000
Sm 0.000 0.704 0.704
Sm 0.000 0.296 0.296
Tl 0.500 0.630 0.151
Tl 0.500 0.370 0.849
Tl 0.500 0.151 0.630
Tl 0.500 0.849 0.370
Tl 0.500 0.785 0.935
Tl 0.500 0.215 0.065
Tl 0.500 0.935 0.785
Tl 0.500 0.065 0.215
Tl 0.500 0.500 0.500
Zn 0.500 0.549 0.744
Zn 0.500 0.451 0.256
Zn 0.500 0.744 0.549
Zn 0.500 0.256 0.451

3.
Sm6Tl2Zn: optimized geometry, GGA-PBE.

For the formation energy, the calculation gives -0.0140 eV/atom. Its excess energy over the best structure of this formula in the dataset is 219 meV/atom. The total moment comes out at 0.006 Bohr magnetons per cell.

a b c (Å): 5.200 7.370 8.996
angles (deg): 114.18 106.83 90.00
Element x y z (fractional)
Sm 0.161 0.403 0.322
Sm 0.839 0.081 0.678
Sm 0.839 0.597 0.678
Sm 0.500 0.233 0.000
Sm 0.161 0.919 0.322
Sm 0.500 0.767 0.000
Tl 0.665 0.666 0.331
Tl 0.335 0.334 0.669
Zn 0.000 0.000 0.000

4.
Sm5Tl6Zn: optimized geometry, GGA-PBE.

For the formation energy, the calculation gives -0.3017 eV/atom. The total moment comes out at 0.001 Bohr magnetons per cell.

a b c (Å): 4.913 8.972 9.183
angles (deg): 119.24 105.52 90.00
Element x y z (fractional)
Tl 0.169 0.424 0.339
Tl 0.169 0.915 0.339
Tl 0.500 0.264 0.000
Tl 0.500 0.736 0.000
Tl 0.831 0.085 0.661
Tl 0.831 0.576 0.661
Zn 0.000 0.000 0.000
Sm 0.363 0.863 0.725
Sm 0.677 0.677 0.355
Sm 0.000 0.500 0.000
Sm 0.323 0.323 0.645
Sm 0.637 0.137 0.275

5.
Sm3TlZn2: optimized geometry, GGA-PBE.

For the formation energy, the calculation gives -0.3381 eV/atom. The total moment comes out at 0.002 Bohr magnetons per cell.

a b c (Å): 3.655 3.655 11.553
angles (deg): 90.00 90.00 90.00
Element x y z (fractional)
Sm 0.000 0.000 0.000
Sm 0.000 0.000 0.688
Sm 0.000 0.000 0.312
Tl 0.500 0.500 0.500
Zn 0.500 0.500 0.847
Zn 0.500 0.500 0.153

6.
SmZrTl2: optimized geometry, GGA-PBE.

For the formation energy, the calculation gives -0.1387 eV/atom. The total moment comes out at 0.353 Bohr magnetons per cell.

a b c (Å): 4.359 4.856 4.856
angles (deg): 90.00 90.00 90.00
Each line ends with the local moment (μB).
Element x y z (fractional)
Tl 0.000 0.000 0.500  0.00
Tl 0.000 0.500 0.000  0.00
Zr 0.500 0.000 0.000  0.17
Sm 0.500 0.500 0.500  0.06

7.
SmZrTl2: optimized geometry, GGA-PBE.

For the formation energy, the calculation gives -0.1819 eV/atom. The total moment comes out at 0.000 Bohr magnetons per cell.

a b c (Å): 3.398 3.398 8.807
angles (deg): 90.00 90.00 90.00
Element x y z (fractional)
Tl 0.000 0.000 0.764
Tl 0.000 0.000 0.236
Zr 0.500 0.500 0.000
Sm 0.500 0.500 0.500

8.
SmZr2Tl: optimized geometry, GGA-PBE.

For the formation energy, the calculation gives 0.2889 eV/atom. Its excess energy over the best structure of this formula in the dataset is 334 meV/atom. The total moment comes out at 0.000 Bohr magnetons per cell.

a b c (Å): 3.217 3.217 11.770
angles (deg): 82.15 82.15 60.00
Element x y z (fractional)
Tl 0.500 0.500 0.500
Zr 0.092 0.092 0.724
Zr 0.908 0.908 0.276
Sm 0.000 0.000 0.000

9.
SmZrTl2: optimized geometry, GGA-PBE.

For the formation energy, the calculation gives -0.0563 eV/atom. The total moment comes out at 0.000 Bohr magnetons per cell.

a b c (Å): 3.438 3.438 10.586
angles (deg): 80.65 80.65 60.00
Element x y z (fractional)
Tl 0.746 0.746 0.762
Tl 0.254 0.254 0.238
Zr 0.000 0.000 0.000
Sm 0.500 0.500 0.500

10.
SmZr2Tl: optimized geometry, GGA-PBE.

For the formation energy, the calculation gives -0.0450 eV/atom. Its excess energy over the best structure of this formula in the dataset is 0 meV/atom. The total moment comes out at 0.000 Bohr magnetons per cell.

a b c (Å): 4.596 4.633 4.633
angles (deg): 90.00 90.00 90.00
Element x y z (fractional)
Tl 0.500 0.500 0.500
Zr 0.000 0.000 0.500
Zr 0.000 0.500 0.000
Sm 0.500 0.000 0.000

11.
Sm3Tm: optimized geometry, GGA-PBE.

For the formation energy, the calculation gives 0.0237 eV/atom. Its excess energy over the best structure of this formula in the dataset is 7 meV/atom. The total moment comes out at 0.000 Bohr magnetons per cell.

a b c (Å): 3.655 6.293 6.820
angles (deg): 117.47 105.54 90.00
Element x y z (fractional)
Tm 0.000 0.001 0.000
Sm 0.252 0.585 0.504
Sm 0.500 0.499 0.000
Sm 0.748 0.081 0.496